CdBi12Rh4, optimized geometry, DFT PBE-GGA; magnetic moment = 0.000 μB/f.u.; raw total energy = -79.4 eV/f.u.; space group = No. 204
1.0
-4.902 4.902 4.902
4.902 -4.902 4.902
4.902 4.902 -4.902
Cd Bi Rh
1 12 4
Direct
0.000 0.000 0.000 Cd
0.158 0.335 0.493 Bi
0.158 0.665 0.823 Bi
0.177 0.842 0.335 Bi
0.335 0.177 0.842 Bi
0.335 0.493 0.158 Bi
0.493 0.158 0.335 Bi
0.507 0.842 0.665 Bi
0.665 0.507 0.842 Bi
0.665 0.823 0.158 Bi
0.823 0.158 0.665 Bi
0.842 0.335 0.177 Bi
0.842 0.665 0.507 Bi
0.000 0.000 0.500 Rh
0.000 0.500 0.000 Rh
0.500 0.000 0.000 Rh
0.500 0.500 0.500 Rh

Cd5BiRh6, optimized geometry, DFT PBE-GGA; magnetic moment = 0.000 μB/f.u.; raw total energy = -54.1 eV/f.u.; space group = No. 71
1.0
-2.292 3.270 6.867
2.292 -3.270 6.867
2.292 3.270 -6.867
Cd Bi Rh
5 1 6
Direct
0.000 0.000 0.000 Cd
0.165 0.665 0.500 Cd
0.323 0.323 0.000 Cd
0.677 0.677 0.000 Cd
0.835 0.335 0.500 Cd
0.500 0.000 0.500 Bi
0.095 0.838 0.257 Rh
0.262 0.500 0.762 Rh
0.419 0.162 0.257 Rh
0.581 0.838 0.743 Rh
0.738 0.500 0.238 Rh
0.905 0.162 0.743 Rh

Cd3BiRh4, optimized geometry, DFT PBE-GGA; magnetic moment = 0.000 μB/f.u.; raw total energy = -37.0 eV/f.u.; space group = No. 123
1.0
4.614 0.000 0.000
0.000 4.614 0.000
0.000 0.000 6.519
Cd Bi Rh
3 1 4
Direct
0.000 0.000 0.000 Cd
0.000 0.000 0.500 Cd
0.500 0.500 0.000 Cd
0.500 0.500 0.500 Bi
0.000 0.500 0.256 Rh
0.000 0.500 0.744 Rh
0.500 0.000 0.256 Rh
0.500 0.000 0.744 Rh

CdBi2Rh, optimized geometry, DFT PBE-GGA; magnetic moment = 0.000 μB/f.u.; raw total energy = -16.1 eV/f.u.; space group = No. 160
1.0
2.205 1.273 6.295
-2.205 1.273 6.295
0.000 -2.546 6.295
Cd Bi Rh
1 2 1
Direct
0.000 0.000 0.000 Cd
0.562 0.562 0.562 Bi
0.767 0.767 0.767 Bi
0.156 0.156 0.156 Rh